# 1
PaInRhAu | GGA-PBE | optimized geometry

Summary:
- energy of formation from the pure elements (kJ per mole of atoms) = -41.9
- uncorrected energy (Ha/atom) = -0.2260
- volume (Å³ per cell) = 82.46

Cell: 4.886 4.886 4.886 Å, 60.00 60.00 60.00°
Atoms (fractional coordinates):
In1 0.000 0.000 0.000
Pa1 0.500 0.500 0.500
Rh1 0.750 0.750 0.750
Au1 0.250 0.250 0.250

***

# 2
RbPu2I7 | GGA-PBE | optimized geometry

Summary:
- uncorrected energy (Ha/atom) = -0.1891
- E_form (uncorrected) (kcal/mol of atoms) = -25.32
- volume (Å³ per cell) = 484.07

Cell: 6.135 9.377 9.377 Å, 116.18 90.00 90.00°
Each line ends with the local moment (μB).
Atoms (fractional coordinates):
I1 0.000 0.702 0.298  -0.06
Pu1 0.500 0.696 0.304  5.17
I2 0.500 0.049 0.325  -0.06
I3 0.000 0.298 0.702  -0.06
Rb1 0.000 0.000 0.000  0.00
I4 0.500 0.325 0.049  -0.06
I5 0.500 0.951 0.675  -0.06
Pu2 0.500 0.304 0.696  5.17
I6 0.500 0.675 0.951  -0.06
I7 0.500 0.500 0.500  -0.09

***

# 3
As2WAu | GGA-PBE | optimized geometry

Summary:
- energy of formation from the pure elements (kJ per mole of atoms) = 38.1
- uncorrected energy (Ha/atom) = -0.2201
- volume (Å³ per cell) = 71.03

Cell: 4.411 2.852 6.264 Å, 64.34 90.00 90.00°
Atoms (fractional coordinates):
Au1 0.000 0.525 0.479
W1 0.500 0.789 0.763
As1 0.500 0.215 0.306
As2 0.000 0.971 0.951

***

# 4
KHf3Tl | GGA-PBE | optimized geometry

Summary:
- energy of formation from the pure elements (kJ per mole of atoms) = 203.5
- uncorrected energy (Ha/atom) = -0.1674
- volume (Å³ per cell) = 124.29

Cell: 4.991 4.991 4.991 Å, 90.00 90.00 90.00°
Each line ends with the local moment (μB).
Atoms (fractional coordinates):
Tl1 0.500 0.500 0.500  0.01
K1 0.000 0.000 0.000  0.13
Hf1 0.000 0.000 0.500  0.38
Hf2 0.500 0.000 0.000  0.41
Hf3 0.000 0.500 0.000  0.42